No. 1
Computed, not measured: a relaxed structure of NaNdTl6 at the PBE level of DFT.

Unit cell a=4.8487 b=4.8487 c=9.6981 alpha=90.00 beta=90.00 gamma=90.00
Sites, in units of the cell vectors:
Na: 0.0000 0.0000 0.0000
Nd: 0.0000 0.0000 0.5000
Tl: 0.0000 0.5000 0.2492
Tl: 0.0000 0.5000 0.7508
Tl: 0.5000 0.0000 0.2492
Tl: 0.5000 0.0000 0.7508
Tl: 0.5000 0.5000 0.0000
Tl: 0.5000 0.5000 0.5000

E = -21.5 eV per cell
formation energy = -1.23 eV per formula unit



No. 2
Computed, not measured: a relaxed structure of MgBeRuC2 at the PBE level of DFT.

Unit cell a=3.9936 b=3.9936 c=4.1925 alpha=90.00 beta=90.00 gamma=90.00
Sites, in units of the cell vectors:
Mg: 0.0000 0.0000 0.0000
Be: 0.5000 0.5000 0.0000
Ru: 0.5000 0.5000 0.5000
C: 0.0000 0.5000 0.5000
C: 0.5000 0.0000 0.5000

E = -27.0 eV per cell
formation energy = 6.06 eV per formula unit



No. 3
Computed, not measured: a relaxed structure of AlReAs at the PBE level of DFT.

Unit cell a=4.1756 b=4.1756 c=4.1756 alpha=60.00 beta=60.00 gamma=60.00
Sites, in units of the cell vectors:
Al: 0.0000 0.0000 0.0000
Re: 0.5000 0.5000 0.5000
As: 0.2500 0.2500 0.2500

energy relative to the lowest polymorph listed for this composition = 607 meV per atom
E = -19.1 eV per cell
formation energy = 1.73 eV per formula unit



No. 4
Computed, not measured: a relaxed structure of RuPbI2N at the PBE level of DFT.

Unit cell a=5.8077 b=5.8077 c=3.7768 alpha=90.00 beta=90.00 gamma=90.00
Sites, in units of the cell vectors:
Ru: 0.0000 0.0000 0.0000
Pb: 0.5000 0.5000 0.5000
I: 0.0000 0.5000 0.0000
I: 0.5000 0.0000 0.0000
N: 0.0000 0.0000 0.5000

energy relative to the lowest polymorph listed for this composition = 0 meV per atom
E = -23.2 eV per cell
E_form (uncorrected) = 241 meV per atom



No. 5
Computed, not measured: a relaxed structure of Pa2Ga4CuNi3 at the PBE level of DFT.

Unit cell a=4.0641 b=4.0641 c=9.9330 alpha=90.00 beta=90.00 gamma=90.00
Sites, in units of the cell vectors:
Pa: 0.0000 0.5000 0.2491
Pa: 0.5000 0.0000 0.7509
Ga: 0.0000 0.0000 0.5000
Ga: 0.0000 0.5000 0.8697
Ga: 0.5000 0.0000 0.1303
Ga: 0.5000 0.5000 0.5000
Cu: 0.5000 0.5000 0.0000
Ni: 0.0000 0.0000 0.0000
Ni: 0.0000 0.5000 0.6352
Ni: 0.5000 0.0000 0.3648

E = -56.8 eV per cell
formation energy = -4.24 eV per formula unit



No. 6
Computed, not measured: a relaxed structure of Dy5TmTlIn2 at the PBE level of DFT.

Unit cell a=9.3947 b=9.3947 c=9.3947 alpha=126.25 beta=126.25 gamma=79.48
Sites, in units of the cell vectors:
Dy: 0.0000 0.0000 0.0000
Dy: 0.0752 0.5752 0.9179
Dy: 0.1572 0.0752 0.5000
Dy: 0.3428 0.8428 0.9179
Dy: 0.4248 0.3428 0.5000
Dy: 0.5000 0.5000 0.0000
Dy: 0.5752 0.6572 0.5000
Dy: 0.6572 0.1572 0.0821
Dy: 0.8428 0.9248 0.5000
Dy: 0.9248 0.4248 0.0821
Tm: 0.2500 0.7500 0.5000
Tm: 0.7500 0.2500 0.5000
Tl: 0.2500 0.2500 0.0000
Tl: 0.7500 0.7500 0.0000
In: 0.1112 0.3888 0.5000
In: 0.3888 0.8888 0.2776
In: 0.6112 0.1112 0.7224
In: 0.8888 0.6112 0.5000

E = -71.5 eV per cell
formation energy = -0.44 eV per formula unit



No. 7
Computed, not measured: a relaxed structure of UTiNb2 at the PBE level of DFT.

Unit cell a=4.7156 b=4.7156 c=4.7156 alpha=60.00 beta=60.00 gamma=60.00
Sites, in units of the cell vectors:
U: 0.0000 0.0000 0.0000
Ti: 0.5000 0.5000 0.5000
Nb: 0.2500 0.2500 0.2500
Nb: 0.7500 0.7500 0.7500

energy relative to the lowest polymorph listed for this composition = 0 meV per atom
E = -39.0 eV per cell
formation energy = 0.28 eV per formula unit



No. 8
Computed, not measured: a relaxed structure of K2NaAuO4 at the PBE level of DFT.

Unit cell a=5.6943 b=5.6943 c=5.6943 alpha=109.48 beta=109.48 gamma=109.44
Sites, in units of the cell vectors:
K: 0.0000 0.5000 0.5000
K: 0.5000 0.0000 0.5000
Na: 0.0000 0.0000 0.0000
Au: 0.5000 0.5000 0.0000
O: 0.1350 0.1350 0.7092
O: 0.4258 0.4258 0.2908
O: 0.5742 0.8650 0.0000
O: 0.8650 0.5742 0.0000

E = -31.5 eV per cell
E_form (uncorrected) = -612 meV per atom



No. 9
Computed, not measured: a relaxed structure of AcLuGaHg at the PBE level of DFT.

Unit cell a=5.3979 b=5.3979 c=5.3979 alpha=60.00 beta=60.00 gamma=60.00
Sites, in units of the cell vectors:
Ac: 0.0000 0.0000 0.0000
Lu: 0.5000 0.5000 0.5000
Ga: 0.7500 0.7500 0.7500
Hg: 0.2500 0.2500 0.2500

E = -13.6 eV per cell
formation energy = -1.65 eV per formula unit



No. 10
Computed, not measured: a relaxed structure of BIr3Au at the PBE level of DFT.

Unit cell a=4.1546 b=4.1546 c=4.1546 alpha=90.00 beta=90.00 gamma=90.00
Sites, in units of the cell vectors:
B: 0.0000 0.0000 0.0000
Ir: 0.0000 0.0000 0.5000
Ir: 0.0000 0.5000 0.0000
Ir: 0.5000 0.0000 0.0000
Au: 0.5000 0.5000 0.5000

energy relative to the lowest polymorph listed for this composition = 0 meV per atom
E = -35.0 eV per cell
formation energy = 1.56 eV per formula unit



No. 11
Computed, not measured: a relaxed structure of KTa4Ru at the PBE level of DFT.

Unit cell a=5.5510 b=5.5510 c=5.5510 alpha=60.00 beta=60.00 gamma=60.00
Sites, in units of the cell vectors:
K: 0.0000 0.0000 0.0000
Ta: 0.3757 0.3757 0.3757
Ta: 0.3757 0.3757 0.8730
Ta: 0.3757 0.8730 0.3757
Ta: 0.8730 0.3757 0.3757
Ru: 0.7500 0.7500 0.7500

E = -51.4 eV per cell
formation energy = 6.39 eV per formula unit



No. 12
Computed, not measured: a relaxed structure of Ca2ZrTiO6 at the PBE level of DFT.

Unit cell a=5.5216 b=5.6799 c=9.6160 alpha=90.00 beta=124.78 gamma=90.00
Sites, in units of the cell vectors:
Ca: 0.2374 0.0494 0.2499
Ca: 0.2374 0.4506 0.7499
Ca: 0.7626 0.5494 0.2501
Ca: 0.7626 0.9506 0.7501
Zr: 0.5000 0.0000 0.0000
Zr: 0.5000 0.5000 0.5000
Ti: 0.0000 0.0000 0.5000
Ti: 0.0000 0.5000 0.0000
O: 0.1428 0.2121 0.9487
O: 0.1428 0.2879 0.4487
O: 0.2391 0.6969 0.9506
O: 0.2391 0.8031 0.4506
O: 0.3366 0.0313 0.7414
O: 0.3366 0.4687 0.2414
O: 0.6634 0.5313 0.7586
O: 0.6634 0.9687 0.2586
O: 0.7609 0.1969 0.5494
O: 0.7609 0.3031 0.0494
O: 0.8572 0.7121 0.5513
O: 0.8572 0.7879 0.0513

energy relative to the lowest polymorph listed for this composition = 0 meV per atom
E = -164.0 eV per cell
E_form (uncorrected) = -3182 meV per atom